CeHoZnAu: relaxed, PBE.

Calculated values
Formation energy from the elements = -2.0 eV/f.u.
Energy above the lowest structure with this stoichiometry = 0.000 eV/atom

Geometry as CIF:
```
data_CeHoZnAu
_cell_length_a 3.5873
_cell_length_b 3.5873
_cell_length_c 7.3559
_cell_angle_alpha 90.00
_cell_angle_beta 90.00
_cell_angle_gamma 90.00
_symmetry_space_group_name_H-M 'P 4 m m'
_symmetry_Int_Tables_number 99
_symmetry_space_group_name_Hall 'P 4 -2'
loop_
_atom_site_label
_atom_site_type_symbol
_atom_site_fract_x
_atom_site_fract_y
_atom_site_fract_z
Ce1 Ce 0.0000 0.0000 0.0000
Ho1 Ho 0.0000 0.0000 0.4954
Zn1 Zn 0.5000 0.5000 0.2595
Au1 Au 0.5000 0.5000 0.7208
```

Rb2CdOF6: relaxed, PBE.

Calculated values
Formation energy (no corrections) = -1.65 eV/atom

Geometry as CIF:
```
data_Rb2CdOF6
_cell_length_a 5.7809
_cell_length_b 5.7809
_cell_length_c 10.3408
_cell_angle_alpha 90.00
_cell_angle_beta 90.00
_cell_angle_gamma 90.00
_symmetry_space_group_name_H-M 'I 4/m m m'
_symmetry_Int_Tables_number 139
_symmetry_space_group_name_Hall '-I 4 2'
loop_
_atom_site_label
_atom_site_type_symbol
_atom_site_fract_x
_atom_site_fract_y
_atom_site_fract_z
Rb1 Rb 0.0000 0.5000 0.2500
Cd1 Cd 0.0000 0.0000 0.0000
O1 O 0.0000 0.0000 0.5000
F1 F 0.0000 0.0000 0.2032
F2 F 0.2192 0.2192 0.5000
```

Li2RuN2: relaxed, PBE.

Calculated values
Formation energy (no corrections) = -0.14 eV/atom
Energy above the lowest structure with this stoichiometry = 0.000 eV/atom

Geometry as CIF:
```
data_Li2RuN2
_cell_length_a 5.1104
_cell_length_b 5.1104
_cell_length_c 3.3622
_cell_angle_alpha 90.00
_cell_angle_beta 90.00
_cell_angle_gamma 90.00
_symmetry_space_group_name_H-M 'P 4/m b m'
_symmetry_Int_Tables_number 127
_symmetry_space_group_name_Hall '-P 4 2ab'
loop_
_atom_site_label
_atom_site_type_symbol
_atom_site_fract_x
_atom_site_fract_y
_atom_site_fract_z
Li1 Li 0.1731 0.3269 0.0000
Ru1 Ru 0.0000 0.0000 0.5000
N1 N 0.0974 0.5974 0.5000
```

Nd5Sm12Er2: relaxed, PBE.

Calculated values
Formation energy from the elements = 1.9 eV/f.u.
Energy above the lowest structure with this stoichiometry = 0.000 eV/atom

Geometry as CIF:
```
data_Nd5Sm12Er2
_cell_length_a 18.0000
_cell_length_b 11.7918
_cell_length_c 6.2496
_cell_angle_alpha 90.00
_cell_angle_beta 102.91
_cell_angle_gamma 90.00
_symmetry_space_group_name_H-M 'C 1 2/m 1'
_symmetry_Int_Tables_number 12
_symmetry_space_group_name_Hall '-C 2y'
loop_
_atom_site_label
_atom_site_type_symbol
_atom_site_fract_x
_atom_site_fract_y
_atom_site_fract_z
Nd1 Nd 0.0000 0.0000 0.0000
Nd2 Nd 0.1760 0.5000 0.3578
Nd3 Nd 0.2149 0.0000 0.0540
Sm1 Sm 0.0527 0.5000 0.7738
Sm2 Sm 0.1027 0.2538 0.1185
Sm3 Sm 0.1193 0.0000 0.4979
Sm4 Sm 0.1965 0.2547 0.6989
Er1 Er 0.0000 0.2295 0.5000
```

Number 1: raw total energy -4.2619 eV per atom, density of states at the Fermi level 8.017 states/eV per cell. Number 2: raw total energy -3.5551 eV per atom, density of states at the Fermi level 0.000 states/eV per cell. Number 3: raw total energy -6.0893 eV per atom, density of states at the Fermi level 1.170 states/eV per cell. Number 4: raw total energy -4.6154 eV per atom, density of states at the Fermi level 56.438 states/eV per cell.